[1]
Here is an optimized crystal structure of CsNp2I6 from the Alexandria database. Energies are from PBE.

The crystal system is trigonal. Its space-group type is P-31m. As for the energy relative to the elements, uncorrected: -0.971 eV/atom.

Cell lengths 8.110, 8.110, 8.630 Å; angles 90.00, 90.00, 120.00 degrees
Atoms (fractional coordinates):
1 Cs 0.000 0.000 0.000
2 Np 0.333 0.667 0.500
3 Np 0.667 0.333 0.500
4 I 0.000 0.373 0.715
5 I 0.000 0.627 0.285
6 I 0.373 0.000 0.715
7 I 0.373 0.373 0.285
8 I 0.627 0.000 0.285
9 I 0.627 0.627 0.715

=====

[2]
Here is an optimized crystal structure of Ta2Co from the Alexandria database. Energies are from PBE.

The formation energy comes out at 0.75 eV per atom. The crystal system is cubic. Its space-group type is Fd-3m.

Cell lengths 5.298, 5.298, 5.298 Å; angles 60.00, 60.00, 60.00 degrees
Atoms (fractional coordinates):
1 Ta 0.000 0.000 0.000
2 Ta 0.000 0.000 0.500
3 Ta 0.000 0.500 0.000
4 Ta 0.500 0.000 0.000
5 Co 0.375 0.375 0.375
6 Co 0.625 0.625 0.625

=====

no.,theoretical density (g/cm3)
1,4.6
2,13.3